Below is a geometry-optimized Pa4Ge6Ir7 structure, with properties calculated at the PBE level.

Space-group type: Im-3m
Energy of formation (meV per atom): -695.2
Calculated volume (Å³/f.u.): 304.15
Uncorrected energy (eV/atom): -8.208

Lattice parameters (Å, degrees): 7.3378 7.3378 7.3378 109.47 109.47 109.47
With the nearest neighbours (Å) after each atom.
Fractional coordinates of all 17 atoms:
Pa 0.0000 0.0000 0.5000  6 Ir 3.00, 6 Ge 3.04
Pa 0.0000 0.5000 0.0000  6 Ir 3.00, 6 Ge 3.04
Pa 0.5000 0.0000 0.0000  6 Ir 3.00, 6 Ge 3.04
Pa 0.5000 0.5000 0.5000  6 Ir 3.00, 6 Ge 3.04
Ge 0.0000 0.3131 0.3131  5 Ir 2.64-2.65
Ge 0.0000 0.6869 0.6869  5 Ir 2.64-2.65
Ge 0.3131 0.0000 0.3131  5 Ir 2.64-2.65
Ge 0.3131 0.3131 0.0000  5 Ir 2.64-2.65
Ge 0.6869 0.0000 0.6869  5 Ir 2.64-2.65
Ge 0.6869 0.6869 0.0000  5 Ir 2.64-2.65
Ir 0.0000 0.0000 0.0000  6 Ge 2.65
Ir 0.2500 0.5000 0.7500  4 Ge 2.64
Ir 0.2500 0.7500 0.5000  4 Ge 2.64
Ir 0.5000 0.2500 0.7500  4 Ge 2.64
Ir 0.5000 0.7500 0.2500  4 Ge 2.64
Ir 0.7500 0.2500 0.5000  4 Ge 2.64
Ir 0.7500 0.5000 0.2500  4 Ge 2.64